Crystalline LiTl5O3 at its relaxed geometry. Source: the Alexandria database, functional PBE.

- Electronic total energy: -3.853 eV/atom
- Total magnetic moment: 0.000 μB per formula unit
- Space group: C2/m (12)

a = 8.2864 Å, b = 8.2864 Å, c = 8.3263 Å
α = 67.57°, β = 67.57°, γ = 79.34°
Fractional positions:
O  0.7974  0.7974  0.4172
Tl  0.0192  0.3294  0.3804
Tl  0.3355  0.6645  0.0000
O  0.6577  0.6577  0.8281
Li  0.9669  0.9669  0.2599
Tl  0.6706  0.9808  0.6196
Tl  0.4113  0.4113  0.4025
Tl  0.5887  0.5887  0.5975
Tl  0.6645  0.3355  0.0000
Tl  0.9808  0.6706  0.6196
Li  0.0331  0.0331  0.7401
O  0.3423  0.3423  0.1719
O  0.0000  0.0000  0.0000
O  0.2026  0.2026  0.5828
Tl  0.3294  0.0192  0.3804
O  0.0000  0.0000  0.5000
Tl  0.2078  0.2078  0.8738
Tl  0.7922  0.7922  0.1262